(1)
First-principles (PBE) data for an optimized crystal structure of CdInHgF2, as listed in the Alexandria database.

raw total energy	-2.695	eV/atom
relative energy among the computed polymorphs	6	meV per atom
SG	P4/mmm
energy relative to the elements, uncorrected	-557	kJ/mol of formula units

Geometry as POSCAR:
```
CdInHgF2
1.0
4.418 0.000 0.000
0.000 4.418 0.000
0.000 0.000 5.930
Cd In Hg F
1 1 1 2
Direct
0.000 0.000 0.000
0.500 0.500 0.500
0.500 0.500 0.000
0.000 0.500 0.500
0.500 0.000 0.500
```



(2)
First-principles (PBE) data for an optimized crystal structure of MgTcP, as listed in the Alexandria database.

raw total energy	-6.083	eV/atom
DFT formation energy	-0.29	eV/atom
relative energy among the computed polymorphs	181	meV per atom
SG	Cmcm

Geometry as POSCAR:
```
MgTcP
1.0
3.982 0.000 0.000
0.000 13.364 0.000
0.000 0.000 3.988
Mg Tc P
4 4 4
Direct
0.000 0.089 0.250
0.000 0.911 0.750
0.500 0.411 0.750
0.500 0.589 0.250
0.000 0.252 0.750
0.000 0.748 0.250
0.500 0.248 0.250
0.500 0.752 0.750
0.000 0.352 0.250
0.000 0.648 0.750
0.500 0.148 0.750
0.500 0.852 0.250
```



(3)
First-principles (PBE) data for an optimized crystal structure of Tb6Tm12Th, as listed in the Alexandria database.

raw total energy	-4.523	eV/atom
DFT formation energy	0.15	eV/atom
relative energy among the computed polymorphs	0	meV per atom
SG	R-3

Geometry as POSCAR:
```
Tb6Tm12Th
1.0
5.901 3.407 4.989
-5.901 3.407 4.989
0.000 -6.814 4.989
Tb Tm Th
6 12 1
Direct
0.184 0.587 0.754
0.246 0.816 0.413
0.413 0.246 0.816
0.587 0.754 0.184
0.754 0.184 0.587
0.816 0.413 0.246
0.045 0.271 0.939
0.061 0.955 0.729
0.154 0.283 0.493
0.271 0.939 0.045
0.283 0.493 0.154
0.493 0.154 0.283
0.507 0.846 0.717
0.717 0.507 0.846
0.729 0.061 0.955
0.846 0.717 0.507
0.939 0.045 0.271
0.955 0.729 0.061
0.500 0.500 0.500
```



(4)
First-principles (PBE) data for an optimized crystal structure of ScUAgS4, as listed in the Alexandria database.

raw total energy	-6.581	eV/atom
SG	Imma
energy relative to the elements, uncorrected	-877	kJ/mol of formula units

Geometry as POSCAR:
```
ScUAgS4
1.0
-3.805 4.022 5.427
3.805 -4.022 5.427
3.805 4.022 -5.427
Sc U Ag S
2 2 2 8
Direct
0.500 0.000 0.000
0.500 0.500 0.500
0.000 0.000 0.000
0.500 0.000 0.500
0.108 0.358 0.750
0.892 0.642 0.250
0.261 0.247 0.486
0.261 0.774 0.014
0.275 0.246 0.029
0.283 0.754 0.529
0.717 0.246 0.471
0.725 0.754 0.971
0.739 0.226 0.986
0.739 0.753 0.514
```



(5)
First-principles (PBE) data for an optimized crystal structure of Sb3Te2S2, as listed in the Alexandria database.

raw total energy	-3.947	eV/atom
SG	C2/m
energy relative to the elements, uncorrected	-69	kJ/mol of formula units

Geometry as POSCAR:
```
Sb3Te2S2
1.0
14.337 0.000 0.000
0.000 4.439 0.000
-2.179 0.000 6.968
Sb Te S
6 4 4
Direct
0.000 0.000 0.000
0.241 0.500 0.252
0.259 0.000 0.748
0.500 0.500 0.000
0.741 0.000 0.252
0.759 0.500 0.748
0.112 0.500 0.849
0.388 0.000 0.151
0.612 0.000 0.849
0.888 0.500 0.151
0.153 0.000 0.332
0.347 0.500 0.668
0.653 0.500 0.332
0.847 0.000 0.668
```



(6)
First-principles (PBE) data for an optimized crystal structure of Pm5SmY2Sc, as listed in the Alexandria database.

raw total energy	-5.146	eV/atom
DFT formation energy	0.16	eV/atom
SG	Cmc2_1

Geometry as POSCAR:
```
Pm5SmY2Sc
1.0
2.812 -10.233 0.000
2.812 10.233 0.000
0.000 0.000 10.433
Pm Sm Y Sc
10 2 4 2
Direct
0.014 0.986 0.500
0.123 0.877 0.227
0.203 0.797 0.538
0.223 0.777 0.925
0.484 0.516 0.232
0.516 0.484 0.732
0.777 0.223 0.425
0.797 0.203 0.038
0.877 0.123 0.727
0.986 0.014 0.000
0.094 0.906 0.781
0.906 0.094 0.281
0.384 0.616 0.509
0.386 0.614 0.939
0.614 0.386 0.439
0.616 0.384 0.009
0.302 0.698 0.232
0.698 0.302 0.732
```



(7)
First-principles (PBE) data for an optimized crystal structure of Zr2TaP, as listed in the Alexandria database.

raw total energy	-8.854	eV/atom
DFT formation energy	-0.26	eV/atom
SG	C2/m

Geometry as POSCAR:
```
Zr2TaP
1.0
9.178 0.000 0.000
0.000 3.446 0.000
-1.326 0.000 4.793
Zr Ta P
4 2 2
Direct
0.226 0.000 0.223
0.274 0.500 0.777
0.726 0.500 0.223
0.774 0.000 0.777
0.000 0.000 0.500
0.500 0.500 0.500
0.000 0.500 0.000
0.500 0.000 0.000
```



(8)
First-principles (PBE) data for an optimized crystal structure of DyAgRh, as listed in the Alexandria database.

raw total energy	-5.288	eV/atom
DFT formation energy	-0.35	eV/atom
relative energy among the computed polymorphs	141	meV per atom
SG	P3m1

Geometry as POSCAR:
```
DyAgRh
1.0
4.593 0.000 0.000
-2.296 3.978 0.000
0.000 0.000 3.357
Dy Ag Rh
1 1 1
Direct
0.000 0.000 0.000
0.333 0.667 0.499
0.667 0.333 0.501
```



(9)
First-principles (PBE) data for an optimized crystal structure of SrIn4Ag, as listed in the Alexandria database.

raw total energy	-2.730	eV/atom
DFT formation energy	-0.15	eV/atom
SG	C2/m

Geometry as POSCAR:
```
SrIn4Ag
1.0
11.011 -2.624 0.000
11.011 2.624 0.000
-1.520 0.000 5.612
Sr In Ag
2 8 2
Direct
0.250 0.250 0.250
0.750 0.750 0.750
0.071 0.071 0.071
0.144 0.144 0.643
0.356 0.356 0.855
0.429 0.429 0.427
0.571 0.571 0.573
0.644 0.644 0.145
0.856 0.856 0.357
0.929 0.929 0.929
0.000 0.000 0.500
0.500 0.500 0.000
```



(10)
First-principles (PBE) data for an optimized crystal structure of KTlGaI3, as listed in the Alexandria database.

raw total energy	-2.639	eV/atom
SG	P2_1/m
energy relative to the elements, uncorrected	-453	kJ/mol of formula units

Geometry as POSCAR:
```
KTlGaI3
1.0
10.195 0.000 0.000
0.000 4.931 0.000
-1.774 0.000 11.879
K Tl Ga I
2 2 2 6
Direct
0.158 0.250 0.181
0.842 0.750 0.819
0.351 0.750 0.866
0.649 0.250 0.134
0.145 0.250 0.609
0.855 0.750 0.391
0.103 0.250 0.876
0.153 0.750 0.435
0.404 0.750 0.144
0.596 0.250 0.856
0.847 0.250 0.565
0.897 0.750 0.124
```



(11)
First-principles (PBE) data for an optimized crystal structure of NbPRuCl2, as listed in the Alexandria database.

raw total energy	-4.859	eV/atom
relative energy among the computed polymorphs	232	meV per atom
SG	P4/mmm
energy relative to the elements, uncorrected	401	kJ/mol of formula units

Geometry as POSCAR:
```
NbPRuCl2
1.0
4.647 0.000 0.000
0.000 4.647 0.000
0.000 0.000 4.625
Nb P Ru Cl
1 1 1 2
Direct
0.000 0.000 0.000
0.500 0.500 0.000
0.500 0.500 0.500
0.000 0.500 0.500
0.500 0.000 0.500
```



Question: Look up the raw total energy of the tenth one.
Answer: -2.639 eV/atom



Question: Look up the raw total energy of the second one.
Answer: -6.083 eV/atom



Question: Number 10 is which compound?
Answer: KTlGaI3